No. 1
Computed, not measured: a relaxed AcGa2Ag10 crystal at the PBE-GGA level of DFT.

Properties
Uncorrected energy, eV/atom: -3.071
Volume, Å³/cell: 255.3

Lattice parameters (Å, degrees): 5.5196 7.3662 7.3141 81.87 67.83 68.00
Fractional positions:
Ac 0.0000 0.0000 0.0000
Ga 0.0000 0.5000 0.0000
Ga 0.5000 0.5000 0.0000
Ag 0.3513 0.6454 0.6519
Ag 0.6487 0.3546 0.3481
Ag 0.9967 0.3546 0.6519
Ag 0.0033 0.6454 0.3481
Ag 0.0000 0.0000 0.5000
Ag 0.5000 0.0000 0.5000
Ag 0.2796 0.2250 0.2158
Ag 0.7204 0.7750 0.7842
Ag 0.5046 0.7750 0.2158
Ag 0.4954 0.2250 0.7842


No. 2
Computed, not measured: a relaxed Tm4GaGeC crystal at the PBE-GGA level of DFT.

Properties
Uncorrected energy, eV/atom: -5.504
Volume, Å³/cell: 160.8

Lattice parameters (Å, degrees): 4.6594 4.6594 8.1065 106.70 106.70 90.00
Fractional positions:
Tm 0.0004 0.5004 0.0007
Tm 0.5004 0.0004 0.0007
Tm 0.8321 0.8321 0.6643
Tm 0.1682 0.1682 0.3364
Ga 0.3652 0.3652 0.7303
Ge 0.6332 0.6332 0.2665
C 0.0005 0.0005 0.0011


No. 3
Computed, not measured: a relaxed Th3OsAu crystal at the PBE-GGA level of DFT.

Properties
Uncorrected energy, eV/atom: -7.698
Volume, Å³/cell: 281.7

Lattice parameters (Å, degrees): 4.3771 9.1529 8.0106 89.22 90.03 118.60
Fractional positions:
Th 0.7108 0.9610 0.1819
Th 0.0697 0.3194 0.5656
Th 0.6204 0.3702 0.1350
Th 0.3796 0.6298 0.8650
Th 0.2892 0.0390 0.8181
Th 0.9303 0.6806 0.4344
Os 0.0002 0.7502 0.0651
Os 0.9998 0.2498 0.9349
Au 0.3515 0.1015 0.4225
Au 0.6485 0.8985 0.5775


No. 4
Computed, not measured: a relaxed TlPO2 crystal at the PBE-GGA level of DFT.

Properties
Energy relative to the elements, uncorrected, eV/atom: -0.640
Volume, Å³/cell: 143.2

Lattice parameters (Å, degrees): 5.5814 5.5814 6.0591 62.58 62.58 90.00
Fractional positions:
P 0.5000 0.5000 0.0000
P 0.2500 0.7500 0.5000
Tl 0.0000 0.0000 0.0000
Tl 0.7500 0.2500 0.5000
O 0.4496 0.1250 0.2500
O 0.3004 0.6250 0.2500
O 0.3750 0.5504 0.7500
O 0.8750 0.6996 0.7500


No. 5
Computed, not measured: a relaxed Rb3Li2CuF6 crystal at the PBE-GGA level of DFT.

Properties
Energy relative to the elements, uncorrected, eV/atom: -2.349
Volume, Å³/cell: 231.1

Lattice parameters (Å, degrees): 6.1099 6.1099 7.1475 90.00 90.00 120.00
Site moments in Bohr magnetons follow the coordinates.
Fractional positions:
Rb 0.3333 0.6667 0.6513  0.00
Rb 0.6667 0.3333 0.3487  0.00
Rb 0.0000 0.0000 0.0000  0.00
Li 0.6667 0.3333 0.7545  0.00
Li 0.3333 0.6667 0.2455  0.00
Cu 0.0000 0.0000 0.5000  0.11
F 0.6617 0.8309 0.2943  0.00
F 0.1691 0.3383 0.2943  0.00
F 0.1691 0.8309 0.2943  0.00
F 0.8309 0.6617 0.7057  0.00
F 0.3383 0.1691 0.7057  0.00
F 0.8309 0.1691 0.7057  0.00


No. 6
Computed, not measured: a relaxed PrGdMgHg crystal at the PBE-GGA level of DFT.

Properties
Uncorrected energy, eV/atom: -5.471
Volume, Å³/cell: 112.4

Lattice parameters (Å, degrees): 5.4169 5.4169 5.4169 60.00 60.00 60.00
Site moments in Bohr magnetons follow the coordinates.
Fractional positions:
Pr 0.7500 0.7500 0.7500  0.18
Mg 0.0000 0.0000 0.0000  0.00
Gd 0.2500 0.2500 0.2500  7.24
Hg 0.5000 0.5000 0.5000  0.01


Number 1: density 9398 kg/m³. Number 2: density 8572 kg/m³. Number 3: density 12770 kg/m³. Number 4: density 6200 kg/m³. Number 5: density 3218 kg/m³. Number 6: density 7728 kg/m³.